Entry from Alexandria via LeMat-Bulk: Na3CrB after structural relaxation (PBE).

Computed properties:
Energy relative to the lowest polymorph listed for this composition (kcal/mol of atoms): 0.00
Uncorrected energy (eV/atom): -2.3887
Formation energy (eV/atom): 1.663
Space group: Pm-3m (221)

```
Na3CrB
1.0
5.607 0.000 0.000
0.000 5.607 0.000
0.000 0.000 5.607
Na Cr B
3 1 1
Direct
0.000 0.000 0.500
0.000 0.500 0.000
0.500 0.000 0.000
0.000 0.000 0.000
0.500 0.500 0.500
```


Entry from Alexandria via LeMat-Bulk: NaCrB after structural relaxation (PBE).

Computed properties:
Energy relative to the lowest polymorph listed for this composition (kcal/mol of atoms): 3.65
Uncorrected energy (eV/atom): -5.6263
Formation energy (eV/atom): 0.247
Space group: P2_1/m (11)

```
NaCrB
1.0
4.415 0.000 0.000
0.000 3.049 0.000
-1.231 0.000 6.887
Na Cr B
2 2 2
Direct
0.217 0.250 0.356
0.783 0.750 0.644
0.366 0.250 0.911
0.634 0.750 0.089
0.087 0.750 0.015
0.913 0.250 0.985
```


Entry from Alexandria via LeMat-Bulk: Na3CrB after structural relaxation (PBE).

Computed properties:
Energy relative to the lowest polymorph listed for this composition (kcal/mol of atoms): 1.70
Uncorrected energy (eV/atom): -2.3150
Formation energy (eV/atom): 1.737
Space group: Pm-3m (221)

```
Na3CrB
1.0
5.013 0.000 0.000
0.000 5.013 0.000
0.000 0.000 5.013
Na Cr B
3 1 1
Direct
0.000 0.000 0.500
0.000 0.500 0.000
0.500 0.000 0.000
0.500 0.500 0.500
0.000 0.000 0.000
```